Entry 1:
Ce2PH: optimized geometry, GGA-PBE.

abc: 5.6202 5.6203 10.8001
angles: 90.00 90.00 90.00
Fractional coordinates of all 16 atoms:
Ce 0.0000 0.2500 0.1166
Ce 0.0000 0.2498 0.6334
Ce 0.0000 0.7502 0.3666
Ce 0.0000 0.7500 0.8834
Ce 0.5000 0.2500 0.3834
Ce 0.5000 0.2498 0.8666
Ce 0.5000 0.7502 0.1334
Ce 0.5000 0.7500 0.6166
P 0.0000 0.2502 0.3750
P 0.0000 0.7498 0.6250
P 0.5000 0.2502 0.1250
P 0.5000 0.7498 0.8750
H 0.0000 0.2490 0.8750
H 0.0000 0.7510 0.1250
H 0.5000 0.2490 0.6250
H 0.5000 0.7510 0.3750

Properties
Its space group is Pmna (53). The value obtained for the polymorph energy (0 for the lowest one) is 61.3 meV per atom. For the density of states at the Fermi level, the calculation gives 2.410 states/eV/atom.

---

Entry 2:
Ce2PH: optimized geometry, GGA-PBE.

abc: 3.8490 3.8490 19.1311
angles: 90.00 90.00 120.00
Fractional coordinates of all 12 atoms:
Ce 0.0000 0.0000 0.0000
Ce 0.0000 0.0000 0.1551
Ce 0.3333 0.6667 0.6667
Ce 0.3333 0.6667 0.8218
Ce 0.6667 0.3333 0.3333
Ce 0.6667 0.3333 0.4884
P 0.0000 0.0000 0.5776
P 0.3333 0.6667 0.2443
P 0.6667 0.3333 0.9109
H 0.0000 0.0000 0.4073
H 0.3333 0.6667 0.0740
H 0.6667 0.3333 0.7407

Properties
Its space group is R3m (160). The value obtained for the polymorph energy (0 for the lowest one) is 77.2 meV per atom. For the density of states at the Fermi level, the calculation gives 2.179 states/eV/atom.

---

Entry 3:
CeP2H: optimized geometry, GGA-PBE.

abc: 4.3970 4.3970 17.3675
angles: 90.00 90.00 120.00
Fractional coordinates of all 12 atoms:
Ce 0.0000 0.0000 0.0000
Ce 0.3333 0.6667 0.6667
Ce 0.6667 0.3333 0.3333
P 0.0000 0.0000 0.4049
P 0.0000 0.0000 0.5951
P 0.3333 0.6667 0.0716
P 0.3333 0.6667 0.2617
P 0.6667 0.3333 0.7383
P 0.6667 0.3333 0.9284
H 0.0000 0.0000 0.5000
H 0.3333 0.6667 0.1667
H 0.6667 0.3333 0.8333

Properties
Its space group is R-3m (166). For the density of states at the Fermi level, the calculation gives 1.335 states/eV/atom.

---

Entry 4:
Ce6P5H: optimized geometry, GGA-PBE.

abc: 7.0144 7.0144 7.0188
angles: 99.62 99.62 119.99
Fractional coordinates of all 12 atoms:
Ce 0.0823 0.4169 0.7502
Ce 0.2492 0.2492 0.2527
Ce 0.4169 0.0823 0.7502
Ce 0.5831 0.9177 0.2498
Ce 0.7508 0.7508 0.7473
Ce 0.9177 0.5831 0.2498
P 0.0000 0.0000 0.5000
P 0.1663 0.8337 0.0000
P 0.3316 0.6684 0.5000
P 0.6684 0.3316 0.5000
P 0.8337 0.1663 0.0000
H 0.5000 0.5000 0.0000

Properties
Its space group is C2/m (12). For the density of states at the Fermi level, the calculation gives 2.257 states/eV/atom.

---

Entry 5:
CePH2: optimized geometry, GGA-PBE.

abc: 4.1056 4.1056 10.4086
angles: 90.00 90.00 120.00
Fractional coordinates of all 12 atoms:
Ce 0.0000 0.0000 0.0000
Ce 0.3333 0.6667 0.6667
Ce 0.6667 0.3333 0.3333
P 0.0000 0.0000 0.5000
P 0.3333 0.6667 0.1667
P 0.6667 0.3333 0.8333
H 0.0000 0.0000 0.3331
H 0.0000 0.0000 0.6669
H 0.3333 0.6667 0.9998
H 0.3333 0.6667 0.3336
H 0.6667 0.3333 0.0002
H 0.6667 0.3333 0.6664

Properties
Its space group is R-3m (166). The value obtained for the polymorph energy (0 for the lowest one) is 0.0 meV per atom. For the density of states at the Fermi level, the calculation gives 1.037 states/eV/atom.

---

Entry 6:
Ce3PH2: optimized geometry, GGA-PBE.

abc: 3.7186 5.5781 11.2651
angles: 90.00 90.00 90.00
Fractional coordinates of all 12 atoms:
Ce 0.0000 0.0000 0.0000
Ce 0.0000 0.0000 0.3189
Ce 0.0000 0.0000 0.6811
Ce 0.5000 0.5000 0.1811
Ce 0.5000 0.5000 0.5000
Ce 0.5000 0.5000 0.8189
P 0.0000 0.5000 0.0000
P 0.5000 0.0000 0.5000
H 0.0000 0.5000 0.3430
H 0.0000 0.5000 0.6570
H 0.5000 0.0000 0.1570
H 0.5000 0.0000 0.8430

Properties
Its space group is Immm (71). For the density of states at the Fermi level, the calculation gives 2.440 states/eV/atom.

---

Entry 7:
CePH: optimized geometry, GGA-PBE.

abc: 6.2430 6.2430 6.2430
angles: 90.00 90.00 90.00
Fractional coordinates of all 12 atoms:
Ce 0.0000 0.0000 0.0000
Ce 0.0000 0.5000 0.5000
Ce 0.5000 0.0000 0.5000
Ce 0.5000 0.5000 0.0000
P 0.2500 0.2500 0.2500
P 0.2500 0.7500 0.7500
P 0.7500 0.2500 0.7500
P 0.7500 0.7500 0.2500
H 0.2500 0.2500 0.7500
H 0.2500 0.7500 0.2500
H 0.7500 0.2500 0.2500
H 0.7500 0.7500 0.7500

Properties
Its space group is F-43m (216). The value obtained for the polymorph energy (0 for the lowest one) is 383.5 meV per atom.

---

Entry 8:
Ce3P3H: optimized geometry, GGA-PBE.

abc: 7.0579 7.0579 6.8658
angles: 92.38 92.38 114.53
Fractional coordinates of all 14 atoms:
Ce 0.1113 0.1113 0.2874
Ce 0.1432 0.4765 0.7717
Ce 0.4765 0.1432 0.7717
Ce 0.5235 0.8568 0.2283
Ce 0.8568 0.5235 0.2283
Ce 0.8887 0.8887 0.7126
P 0.1654 0.8346 0.0000
P 0.2034 0.7966 0.5000
P 0.4187 0.4187 0.1186
P 0.5813 0.5813 0.8814
P 0.7966 0.2034 0.5000
P 0.8346 0.1654 0.0000
H 0.1928 0.1928 0.6373
H 0.8072 0.8072 0.3627

Properties
Its space group is C2/m (12). For the density of states at the Fermi level, the calculation gives 2.316 states/eV/atom.

---

Entry 9:
Ce3P2H2: optimized geometry, GGA-PBE.

abc: 13.1937 3.9964 5.7653
angles: 90.00 110.17 90.00
Fractional coordinates of all 14 atoms:
Ce 0.0000 0.0000 0.0000
Ce 0.1703 0.5000 0.6883
Ce 0.3297 0.0000 0.3117
Ce 0.5000 0.5000 0.0000
Ce 0.6703 0.0000 0.6883
Ce 0.8297 0.5000 0.3117
P 0.1639 0.5000 0.1851
P 0.3361 0.0000 0.8149
P 0.6639 0.0000 0.1851
P 0.8361 0.5000 0.8149
H 0.0811 0.0000 0.7018
H 0.4189 0.5000 0.2982
H 0.5811 0.5000 0.7018
H 0.9189 0.0000 0.2982

Properties
Its space group is C2/m (12). For the density of states at the Fermi level, the calculation gives 2.096 states/eV/atom.

---

Entry 10:
Ce2PH: optimized geometry, GGA-PBE.

abc: 3.8831 3.8831 19.0885
angles: 90.00 90.00 120.00
Fractional coordinates of all 12 atoms:
Ce 0.0000 0.0000 0.2455
Ce 0.0000 0.0000 0.7545
Ce 0.3333 0.6667 0.4211
Ce 0.3333 0.6667 0.9122
Ce 0.6667 0.3333 0.0878
Ce 0.6667 0.3333 0.5789
P 0.0000 0.0000 0.0000
P 0.3333 0.6667 0.6667
P 0.6667 0.3333 0.3333
H 0.0000 0.0000 0.5000
H 0.3333 0.6667 0.1667
H 0.6667 0.3333 0.8333

Properties
Its space group is R-3m (166). The value obtained for the polymorph energy (0 for the lowest one) is 0.0 meV per atom. For the density of states at the Fermi level, the calculation gives 2.307 states/eV/atom.

---

Entry 11:
Ce4P2H: optimized geometry, GGA-PBE.

abc: 4.3117 4.3117 15.8321
angles: 90.00 90.00 90.00
Fractional coordinates of all 14 atoms:
Ce 0.0000 0.0000 0.1757
Ce 0.0000 0.0000 0.8243
Ce 0.0000 0.5000 0.0000
Ce 0.0000 0.5000 0.5000
Ce 0.5000 0.0000 0.0000
Ce 0.5000 0.0000 0.5000
Ce 0.5000 0.5000 0.3243
Ce 0.5000 0.5000 0.6757
P 0.0000 0.0000 0.3632
P 0.0000 0.0000 0.6368
P 0.5000 0.5000 0.1368
P 0.5000 0.5000 0.8632
H 0.0000 0.0000 0.0000
H 0.5000 0.5000 0.5000

Properties
Its space group is I4/mmm (139). For the density of states at the Fermi level, the calculation gives 2.440 states/eV/atom.

---

Entry 12:
CePH2: optimized geometry, GGA-PBE.

abc: 3.8540 10.3236 5.4906
angles: 90.00 90.00 90.00
Fractional coordinates of all 16 atoms:
Ce 0.0000 0.1645 0.2500
Ce 0.0000 0.8356 0.7500
Ce 0.5000 0.3356 0.7500
Ce 0.5000 0.6644 0.2500
P 0.0000 0.1203 0.7500
P 0.0000 0.8797 0.2500
P 0.5000 0.3797 0.2500
P 0.5000 0.6203 0.7500
H 0.0000 0.3499 0.0180
H 0.0000 0.3499 0.4820
H 0.0000 0.6501 0.5180
H 0.0000 0.6501 0.9820
H 0.5000 0.1501 0.5180
H 0.5000 0.1501 0.9820
H 0.5000 0.8499 0.0180
H 0.5000 0.8499 0.4820

Properties
Its space group is Cmcm (63). The value obtained for the polymorph energy (0 for the lowest one) is 179.1 meV per atom. For the density of states at the Fermi level, the calculation gives 0.627 states/eV/atom.

---

Entry 13:
CePH: optimized geometry, GGA-PBE.

abc: 3.9859 3.9859 6.9184
angles: 90.00 90.00 90.00
Fractional coordinates of all 6 atoms:
Ce 0.0000 0.0000 0.0000
Ce 0.5000 0.5000 0.5000
P 0.0000 0.0000 0.5859
P 0.5000 0.5000 0.0859
H 0.0000 0.0000 0.3624
H 0.5000 0.5000 0.8624

Properties
Its space group is I4mm (107). The value obtained for the polymorph energy (0 for the lowest one) is 451.2 meV per atom. For the density of states at the Fermi level, the calculation gives 1.870 states/eV/atom.

---

Entry 14:
Ce2P2H3: optimized geometry, GGA-PBE.

abc: 9.9768 3.8583 5.6595
angles: 90.00 99.88 90.00
Fractional coordinates of all 14 atoms:
Ce 0.1430 0.0000 0.2468
Ce 0.3570 0.5000 0.7532
Ce 0.6430 0.5000 0.2468
Ce 0.8570 0.0000 0.7532
P 0.1454 0.0000 0.7491
P 0.3546 0.5000 0.2509
P 0.6454 0.5000 0.7491
P 0.8546 0.0000 0.2509
H 0.0000 0.5000 0.0000
H 0.1584 0.5000 0.4939
H 0.3416 0.0000 0.5061
H 0.5000 0.0000 0.0000
H 0.6584 0.0000 0.4939
H 0.8416 0.5000 0.5061

Properties
Its space group is C2/m (12). For the density of states at the Fermi level, the calculation gives 0.862 states/eV/atom.

---

Entry 15:
Ce4P3H2: optimized geometry, GGA-PBE.

abc: 6.7810 6.7810 8.6529
angles: 123.55 123.55 33.76
Fractional coordinates of all 9 atoms:
Ce 0.0806 0.0806 0.3888
Ce 0.3175 0.3175 0.9005
Ce 0.6825 0.6825 0.0995
Ce 0.9194 0.9194 0.6112
P 0.0000 0.0000 0.0000
P 0.3807 0.3807 0.2856
P 0.6193 0.6193 0.7144
H 0.3098 0.3098 0.6195
H 0.6902 0.6902 0.3805

Properties
Its space group is C2/m (12). For the density of states at the Fermi level, the calculation gives 2.177 states/eV/atom.

---

Entry 16:
Ce2P2H: optimized geometry, GGA-PBE.

abc: 7.0836 7.0836 7.0836
angles: 131.75 70.21 132.28
Fractional coordinates of all 10 atoms:
Ce 0.1168 0.2301 0.3469
Ce 0.3832 0.7301 0.1133
Ce 0.6168 0.2699 0.8867
Ce 0.8832 0.7699 0.6531
P 0.1377 0.7202 0.8579
P 0.3623 0.2202 0.5825
P 0.6377 0.7798 0.4175
P 0.8623 0.2798 0.1421
H 0.2500 0.2500 0.0000
H 0.7500 0.7500 0.0000

Properties
Its space group is Ibam (72). For the density of states at the Fermi level, the calculation gives 1.279 states/eV/atom.

---

Entry 17:
Ce3PH3: optimized geometry, GGA-PBE.

abc: 7.5629 7.5629 7.5629
angles: 53.25 53.25 53.25
Fractional coordinates of all 14 atoms:
Ce 0.0827 0.4130 0.7436
Ce 0.2564 0.9173 0.5870
Ce 0.4130 0.7436 0.0827
Ce 0.5870 0.2564 0.9173
Ce 0.7436 0.0827 0.4130
Ce 0.9173 0.5870 0.2564
P 0.1668 0.1668 0.1668
P 0.8332 0.8332 0.8332
H 0.0365 0.7139 0.3740
H 0.2861 0.6260 0.9635
H 0.3740 0.0365 0.7139
H 0.6260 0.9635 0.2861
H 0.7139 0.3740 0.0365
H 0.9635 0.2861 0.6260

Properties
Its space group is R-3 (148). For the density of states at the Fermi level, the calculation gives 2.416 states/eV/atom.

---

Entry 18:
CePHPd: optimized geometry, GGA-PBE.

abc: 4.2202 4.2202 3.9500
angles: 90.00 90.00 120.00
Fractional coordinates of all 4 atoms:
Ce 0.0000 0.0000 0.0000
P 0.3333 0.6667 0.5000
H 0.6667 0.3333 0.0000
Pd 0.6667 0.3333 0.5000

Properties
Its space group is P-6m2 (187). For the density of states at the Fermi level, the calculation gives 1.017 states/eV/atom.

---

Entry 19:
CePH2Pd: optimized geometry, GGA-PBE.

abc: 5.4498 5.4498 6.5457
angles: 90.00 90.00 138.25
Fractional coordinates of all 10 atoms:
Ce 0.2197 0.7803 0.7500
Ce 0.7803 0.2197 0.2500
P 0.0604 0.9396 0.2500
P 0.9396 0.0604 0.7500
H 0.3274 0.6726 0.0647
H 0.3274 0.6726 0.4353
H 0.6726 0.3274 0.5647
H 0.6726 0.3274 0.9353
Pd 0.5000 0.5000 0.0000
Pd 0.5000 0.5000 0.5000

Properties
Its space group is Cmcm (63). For the density of states at the Fermi level, the calculation gives 0.901 states/eV/atom.

---

Entry 20:
CePmPH: optimized geometry, GGA-PBE.

abc: 6.8146 6.8146 6.8146
angles: 90.00 90.00 90.00
Fractional coordinates of all 16 atoms:
Ce 0.0000 0.0000 0.0000
Ce 0.0000 0.5000 0.5000
Ce 0.5000 0.0000 0.5000
Ce 0.5000 0.5000 0.0000
Pm 0.0000 0.0000 0.5000
Pm 0.0000 0.5000 0.0000
Pm 0.5000 0.0000 0.0000
Pm 0.5000 0.5000 0.5000
P 0.2500 0.2500 0.2500
P 0.2500 0.7500 0.7500
P 0.7500 0.2500 0.7500
P 0.7500 0.7500 0.2500
H 0.2500 0.2500 0.7500
H 0.2500 0.7500 0.2500
H 0.7500 0.2500 0.2500
H 0.7500 0.7500 0.7500

Properties
Its space group is F-43m (216). For the density of states at the Fermi level, the calculation gives 2.134 states/eV/atom.

---

Entry 21:
CePH2Pt: optimized geometry, GGA-PBE.

abc: 5.3428 5.3428 7.0103
angles: 90.00 90.00 138.13
Fractional coordinates of all 10 atoms:
Ce 0.2247 0.7753 0.7500
Ce 0.7753 0.2247 0.2500
P 0.0529 0.9471 0.2500
P 0.9471 0.0529 0.7500
H 0.3324 0.6676 0.0596
H 0.3324 0.6676 0.4404
H 0.6676 0.3324 0.5596
H 0.6676 0.3324 0.9404
Pt 0.5000 0.5000 0.0000
Pt 0.5000 0.5000 0.5000

Properties
Its space group is Cmcm (63). For the density of states at the Fermi level, the calculation gives 1.201 states/eV/atom.

---

Entry 22:
CePHRh: optimized geometry, GGA-PBE.

abc: 3.9911 3.9911 7.2301
angles: 90.00 90.00 90.00
Fractional coordinates of all 8 atoms:
Ce 0.2500 0.2500 0.1618
Ce 0.7500 0.7500 0.8382
P 0.2500 0.2500 0.6981
P 0.7500 0.7500 0.3019
H 0.2500 0.7500 0.0000
H 0.7500 0.2500 0.0000
Rh 0.2500 0.7500 0.5000
Rh 0.7500 0.2500 0.5000

Properties
Its space group is P4/nmm (129). For the density of states at the Fermi level, the calculation gives 0.891 states/eV/atom.

---

Entry 23:
Ce2P2H4Rh: optimized geometry, GGA-PBE.

abc: 5.6774 5.6774 5.6774
angles: 121.81 121.81 86.89
Fractional coordinates of all 9 atoms:
Ce 0.2500 0.7500 0.5000
Ce 0.7500 0.2500 0.5000
P 0.2068 0.2068 0.0000
P 0.7932 0.7932 0.0000
H 0.2827 0.2827 0.5654
H 0.2827 0.7173 0.0000
H 0.7173 0.2827 0.0000
H 0.7173 0.7173 0.4346
Rh 0.5000 0.5000 0.0000

Properties
Its space group is I4/mmm (139). For the density of states at the Fermi level, the calculation gives 0.748 states/eV/atom.

---

Entry 24:
CePHRh2: optimized geometry, GGA-PBE.

abc: 5.6792 5.6792 6.9094
angles: 90.00 90.00 139.53
Fractional coordinates of all 10 atoms:
Ce 0.0636 0.9364 0.7500
Ce 0.9364 0.0636 0.2500
P 0.2167 0.7833 0.2500
P 0.7833 0.2167 0.7500
H 0.5000 0.5000 0.0000
H 0.5000 0.5000 0.5000
Rh 0.3366 0.6634 0.5504
Rh 0.3366 0.6634 0.9496
Rh 0.6634 0.3366 0.0504
Rh 0.6634 0.3366 0.4496

Properties
Its space group is Cmcm (63). For the density of states at the Fermi level, the calculation gives 0.922 states/eV/atom.

---

| no. | calculated total energy (eV for the cell shown) |
| --- | --- |
| 1 | -95.08 |
| 2 | -71.12 |
| 3 | -63.10 |
| 4 | -81.29 |
| 5 | -61.36 |
| 6 | -66.98 |
| 7 | -66.15 |
| 8 | -90.04 |
| 9 | -83.94 |
| 10 | -72.04 |
| 11 | -87.75 |
| 12 | -78.94 |
| 13 | -32.67 |
| 14 | -72.47 |
| 15 | -56.44 |
| 16 | -63.98 |
| 17 | -76.28 |
| 18 | -23.74 |
| 19 | -53.08 |
| 20 | -88.18 |
| 21 | -54.92 |
| 22 | -51.93 |
| 23 | -49.19 |
| 24 | -67.49 |